{
  "formula": "SrLaAg",
  "functional": "PBEsol",
  "state": "relaxed",
  "lattice_angstrom": [[-1.890, 1.890, 6.886], [1.890, -1.890, 6.886], [1.890, 1.890, -6.886]],
  "species": ["Sr", "La", "Ag"],
  "fractional_positions": [[0.000, 0.000, 0.000], [0.730, 0.730, 0.000], [0.355, 0.355, 0.000]],
  "formation_enthalpy_0k_ev_per_atom": -0.09,
  "space_group": "I4mm (107)"
}